## Be4Rh5 (PBE)

Data for a geometry-optimized Be4Rh5 structure.

Lattice parameters (Å, degrees): 6.8628 6.8628 5.0342 90.00 90.00 120.00
Last column: nearest neighbours and their distance in Å.
Atoms (fractional coordinates):
Be 0.0000 0.0000 0.0000  6 Rh 2.27, 2 Be 2.52
Be 0.0000 0.0000 0.5000  6 Rh 2.27, 2 Be 2.52
Be 0.0000 0.3839 0.2500  7 Rh 2.34-2.48
Be 0.0000 0.6161 0.7500  7 Rh 2.34-2.48
Be 0.3839 0.0000 0.2500  7 Rh 2.34-2.48
Be 0.3839 0.3839 0.7500  7 Rh 2.34-2.48
Be 0.6161 0.0000 0.7500  7 Rh 2.34-2.48
Be 0.6161 0.6161 0.2500  7 Rh 2.34-2.48
Rh 0.0000 0.2757 0.7500  5 Be 2.27-2.35
Rh 0.0000 0.7243 0.2500  5 Be 2.27-2.35
Rh 0.2757 0.0000 0.7500  5 Be 2.27-2.35
Rh 0.2757 0.2757 0.2500  5 Be 2.27-2.35
Rh 0.3333 0.6667 0.0000  6 Be 2.48, 2 Rh 2.52
Rh 0.3333 0.6667 0.5000  6 Be 2.48, 2 Rh 2.52
Rh 0.6667 0.3333 0.0000  6 Be 2.48, 2 Rh 2.52
Rh 0.6667 0.3333 0.5000  6 Be 2.48, 2 Rh 2.52
Rh 0.7243 0.0000 0.2500  5 Be 2.27-2.35
Rh 0.7243 0.7243 0.7500  5 Be 2.27-2.35

Energy relative to the elements (meV/atom): -426
Crystal system: hexagonal
Energy relative to the lowest polymorph listed for this composition (meV per atom): 0

## NbPdPt2 (PBE)

Data for a geometry-optimized NbPdPt2 structure.

Lattice parameters (Å, degrees): 4.5126 4.5126 4.5126 60.00 60.00 60.00
Last column: nearest neighbours and their distance in Å.
Atoms (fractional coordinates):
Nb 0.0000 0.0000 0.0000  8 Pt 2.76
Pd 0.5000 0.5000 0.5000  8 Pt 2.76
Pt 0.2500 0.2500 0.2500  4 Pd 2.76, 4 Nb 2.76
Pt 0.7500 0.7500 0.7500  4 Pd 2.76, 4 Nb 2.76

Energy relative to the elements (meV/atom): -406
Crystal system: cubic

## BaTa4O8 (PBE)

Data for a geometry-optimized BaTa4O8 structure.

Lattice parameters (Å, degrees): 7.4920 7.4920 7.4920 92.38 92.38 156.48
Last column: nearest neighbours and their distance in Å.
Atoms (fractional coordinates):
Ba 0.0000 0.0000 0.0000  8 O 2.77, 2 Ba 3.05
Ta 0.1625 0.3249 0.4873  6 O 2.08-2.17
Ta 0.3249 0.8375 0.1624  6 O 2.08-2.17
Ta 0.6751 0.1625 0.8376  6 O 2.08-2.17
Ta 0.8375 0.6751 0.5127  6 O 2.08-2.17
O 0.0394 0.6645 0.7040  3 Ta 2.08-2.10
O 0.3179 0.6283 0.9462  3 Ta 2.16-2.17
O 0.3355 0.0394 0.3749  3 Ta 2.08-2.10
O 0.3717 0.3179 0.6896  3 Ta 2.16-2.17
O 0.6283 0.6821 0.3104  3 Ta 2.16-2.17
O 0.6645 0.9606 0.6251  3 Ta 2.08-2.10
O 0.6821 0.3717 0.0538  3 Ta 2.16-2.17
O 0.9606 0.3355 0.2960  3 Ta 2.08-2.10

Total DFT energy (no corrections) (Ry per atom): -0.68153
Crystal system: tetragonal

## K3B2Se8 (PBE)

Data for a geometry-optimized K3B2Se8 structure.

Lattice parameters (Å, degrees): 10.5093 10.5093 10.5093 36.17 36.17 36.17
Last column: nearest neighbours and their distance in Å.
Atoms (fractional coordinates):
K 0.0000 0.0000 0.0000  12 Se 3.91-4.26, 6 K 4.36
K 0.2590 0.2590 0.2590  1 Se 3.25
K 0.7410 0.7410 0.7410  1 Se 3.25
B 0.4381 0.4381 0.4381  4 Se 2.02-2.08
B 0.5619 0.5619 0.5619  4 Se 2.02-2.08
Se 0.1941 0.7068 0.7068  1 B 2.08
Se 0.2932 0.2932 0.8059  1 B 2.08
Se 0.2932 0.8059 0.2932  1 B 2.08
Se 0.3695 0.3695 0.3695  1 B 2.02
Se 0.6305 0.6305 0.6305  1 B 2.02
Se 0.7068 0.1941 0.7068  1 B 2.08
Se 0.7068 0.7068 0.1941  1 B 2.08
Se 0.8059 0.2932 0.2932  1 B 2.08

Total DFT energy (no corrections) (Ry per atom): -0.27118
Crystal system: trigonal

## Y3MgRh8 (PBE)

Data for a geometry-optimized Y3MgRh8 structure.

Lattice parameters (Å, degrees): 9.2110 9.2110 9.2110 33.45 33.45 33.45
Last column: nearest neighbours and their distance in Å.
Atoms (fractional coordinates):
Y 0.0000 0.0000 0.0000  12 Rh 3.11-3.14, 4 Y 3.29-3.33
Y 0.1278 0.1278 0.1278  12 Rh 3.03-3.15, 3 Mg 3.21, 1 Y 3.33
Y 0.6203 0.6203 0.6203  12 Rh 3.06-3.22, 1 Mg 3.20, 3 Y 3.29
Mg 0.4976 0.4976 0.4976  12 Rh 3.06-3.13, 4 Y 3.20-3.21
Rh 0.0608 0.0608 0.5621  6 Rh 2.64-2.67
Rh 0.0608 0.5621 0.0608  6 Rh 2.64-2.67
Rh 0.0629 0.5622 0.5622  6 Rh 2.65-2.67
Rh 0.3119 0.3119 0.3119  6 Rh 2.67
Rh 0.5621 0.0608 0.0608  6 Rh 2.64-2.67
Rh 0.5622 0.0629 0.5622  6 Rh 2.65-2.67
Rh 0.5622 0.5622 0.0629  6 Rh 2.65-2.67
Rh 0.8120 0.8120 0.8120  6 Rh 2.64-2.65

Energy relative to the elements (meV/atom): -639
Crystal system: trigonal

## Zr2AlBr (PBE)

Data for a geometry-optimized Zr2AlBr structure.

Lattice parameters (Å, degrees): 5.7262 5.7262 5.7262 137.60 137.60 61.51
Last column: nearest neighbours and their distance in Å.
Atoms (fractional coordinates):
Zr 0.0000 0.0000 0.0000  4 Br 2.93, 4 Zr 3.22, 4 Al 3.22
Zr 0.7500 0.2500 0.5000  4 Al 2.93, 4 Br 3.22, 4 Zr 3.22
Al 0.2500 0.7500 0.5000  8 Zr 2.93-3.22, 4 Br 3.22
Br 0.5000 0.5000 0.0000  8 Zr 2.93-3.22, 4 Al 3.22

Crystal system: tetragonal
Energy relative to the lowest polymorph listed for this composition (meV per atom): 390

## Cu2SnSe3 (PBE)

Data for a geometry-optimized Cu2SnSe3 structure.

Lattice parameters (Å, degrees): 7.0603 7.0603 7.0603 146.00 59.94 132.21
Last column: nearest neighbours and their distance in Å.
Atoms (fractional coordinates):
Cu 0.1710 0.0000 0.1710  4 Se 2.43-2.46
Cu 0.8290 0.0000 0.8290  4 Se 2.43-2.46
Sn 0.4712 0.9712 0.5000  4 Se 2.60-2.69
Se 0.0447 0.7230 0.3217  3 Cu 2.43, 1 Sn 2.60
Se 0.4013 0.7230 0.6783  3 Cu 2.43, 1 Sn 2.60
Se 0.7728 0.7728 0.0000  2 Cu 2.46, 2 Sn 2.69

Total DFT energy (no corrections) (Ry per atom): -0.29849
Crystal system: orthorhombic

## Tb3SmSb3 (PBE)

Data for a geometry-optimized Tb3SmSb3 structure.

Lattice parameters (Å, degrees): 9.2768 9.2768 9.2768 90.00 90.00 90.00
Last column: nearest neighbours and their distance in Å.
Atoms (fractional coordinates):
Tb 0.0734 0.4266 0.5734  6 Sb 3.08-3.34
Tb 0.1787 0.1787 0.1787  6 Sb 3.10-3.32
Tb 0.1793 0.8207 0.3207  6 Sb 3.09-3.33
Tb 0.3207 0.1793 0.8207  6 Sb 3.09-3.33
Tb 0.3213 0.8213 0.6787  6 Sb 3.10-3.32
Tb 0.4266 0.5734 0.0734  6 Sb 3.08-3.34
Tb 0.5734 0.0734 0.4266  6 Sb 3.08-3.34
Tb 0.6787 0.3213 0.8213  6 Sb 3.10-3.32
Tb 0.6793 0.6793 0.6793  6 Sb 3.09-3.33
Tb 0.8207 0.3207 0.1793  6 Sb 3.09-3.33
Tb 0.8213 0.6787 0.3213  6 Sb 3.10-3.32
Tb 0.9266 0.9266 0.9266  6 Sb 3.08-3.34
Sm 0.0707 0.5707 0.9293  6 Sb 3.11-3.34
Sm 0.4293 0.4293 0.4293  6 Sb 3.11-3.34
Sm 0.5707 0.9293 0.0707  6 Sb 3.11-3.34
Sm 0.9293 0.0707 0.5707  6 Sb 3.11-3.34
Sb 0.0007 0.7470 0.6233  6 Tb 3.08-3.34, 2 Sm 3.11-3.34
Sb 0.1233 0.4993 0.2530  6 Tb 3.08-3.34, 2 Sm 3.11-3.34
Sb 0.2470 0.8767 0.9993  6 Tb 3.08-3.34, 2 Sm 3.11-3.34
Sb 0.2530 0.1233 0.4993  6 Tb 3.08-3.34, 2 Sm 3.11-3.34
Sb 0.3767 0.5007 0.7530  6 Tb 3.08-3.34, 2 Sm 3.11-3.34
Sb 0.4993 0.2530 0.1233  6 Tb 3.08-3.34, 2 Sm 3.11-3.34
Sb 0.5007 0.7530 0.3767  6 Tb 3.08-3.34, 2 Sm 3.11-3.34
Sb 0.6233 0.0007 0.7470  6 Tb 3.08-3.34, 2 Sm 3.11-3.34
Sb 0.7470 0.6233 0.0007  6 Tb 3.08-3.34, 2 Sm 3.11-3.34
Sb 0.7530 0.3767 0.5007  6 Tb 3.08-3.34, 2 Sm 3.11-3.34
Sb 0.8767 0.9993 0.2470  6 Tb 3.08-3.34, 2 Sm 3.11-3.34
Sb 0.9993 0.2470 0.8767  6 Tb 3.08-3.34, 2 Sm 3.11-3.34

Crystal system: cubic
Energy relative to the lowest polymorph listed for this composition (meV per atom): 0

## LiCa2Ir (PBE)

Data for a geometry-optimized LiCa2Ir structure.

Lattice parameters (Å, degrees): 6.4605 6.4605 6.4605 103.91 103.91 121.28
Last column: nearest neighbours and their distance in Å.
Atoms (fractional coordinates):
Li 0.0000 0.0000 0.0000  4 Ca 3.13, 2 Ir 3.17
Li 0.7500 0.2500 0.5000  4 Ca 3.13, 2 Ir 3.17
Ca 0.1611 0.6250 0.0361  2 Ir 2.74
Ca 0.3750 0.4111 0.5361  2 Ir 2.74
Ca 0.5889 0.1250 0.9639  2 Ir 2.74
Ca 0.8750 0.8389 0.4639  2 Ir 2.74
Ir 0.2500 0.7500 0.5000  4 Ca 2.74
Ir 0.5000 0.5000 0.0000  4 Ca 2.74

Energy relative to the elements (meV/atom): 130
Crystal system: tetragonal
Energy relative to the lowest polymorph listed for this composition (meV per atom): 357

## TcIr2S2 (PBE)

Data for a geometry-optimized TcIr2S2 structure.

Lattice parameters (Å, degrees): 6.7388 6.7388 3.1447 90.00 90.00 90.00
Last column: nearest neighbours and their distance in Å.
Atoms (fractional coordinates):
Tc 0.0000 0.0000 0.0000  4 S 2.52
Tc 0.5000 0.5000 0.0000  4 S 2.52
Ir 0.1518 0.3482 0.5000  2 S 2.35
Ir 0.3482 0.8482 0.5000  2 S 2.35
Ir 0.6518 0.1518 0.5000  2 S 2.35
Ir 0.8482 0.6518 0.5000  2 S 2.35
S 0.1651 0.6651 0.0000  2 Ir 2.35, 2 Tc 2.52
S 0.3349 0.1651 0.0000  2 Ir 2.35, 2 Tc 2.52
S 0.6651 0.8349 0.0000  2 Ir 2.35, 2 Tc 2.52
S 0.8349 0.3349 0.0000  2 Ir 2.35, 2 Tc 2.52

Crystal system: tetragonal
Energy relative to the lowest polymorph listed for this composition (meV per atom): 0

## Nb2NF (PBE)

Data for a geometry-optimized Nb2NF structure.

Lattice parameters (Å, degrees): 5.8647 5.8647 5.8647 127.87 127.87 76.84
Last column: nearest neighbours and their distance in Å.
Atoms (fractional coordinates):
Nb 0.0743 0.6250 0.9493  2 N 2.01
Nb 0.3750 0.3243 0.4493  2 N 2.01
Nb 0.6757 0.1250 0.0507  2 N 2.01
Nb 0.8750 0.9257 0.5507  2 N 2.01
N 0.0000 0.0000 0.0000  4 Nb 2.01
N 0.7500 0.2500 0.5000  4 Nb 2.01
F 0.2500 0.7500 0.5000  4 Nb 2.32
F 0.5000 0.5000 0.0000  4 Nb 2.32

Crystal system: tetragonal
Energy relative to the lowest polymorph listed for this composition (meV per atom): 0

## Pm7Pr2Ho4 (PBE)

Data for a geometry-optimized Pm7Pr2Ho4 structure.

Lattice parameters (Å, degrees): 6.3442 6.4932 12.1844 88.50 79.32 64.56
Last column: nearest neighbours and their distance in Å.
Atoms (fractional coordinates):
Pm 0.0000 0.0000 0.0000  4 Pr 3.45-3.82, 4 Pm 3.73-3.81
Pm 0.0561 0.5249 0.8037  2 Pr 3.29-3.33, 2 Ho 3.31-3.56, 4 Pm 3.50-3.63
Pm 0.3252 0.6437 0.3033  4 Pm 3.45-3.58, 5 Ho 3.46-3.82, 1 Pr 3.68
Pm 0.4792 0.9331 0.7554  3 Ho 3.41-3.66, 5 Pm 3.45-3.73, 2 Pr 3.54
Pm 0.5208 0.0669 0.2446  3 Ho 3.41-3.66, 5 Pm 3.45-3.73, 2 Pr 3.54
Pm 0.6748 0.3563 0.6967  4 Pm 3.45-3.58, 5 Ho 3.46-3.82, 1 Pr 3.68
Pm 0.9439 0.4751 0.1963  2 Pr 3.29-3.33, 2 Ho 3.31-3.56, 4 Pm 3.50-3.63
Pr 0.4084 0.2985 0.9841  6 Pm 3.29-3.68, 2 Pr 3.34-3.57
Pr 0.5916 0.7015 0.0159  6 Pm 3.29-3.68, 2 Pr 3.34-3.57
Ho 0.1405 0.8349 0.5949  4 Pm 3.31-3.60, 5 Ho 3.33-3.56
Ho 0.2713 0.2842 0.5232  6 Ho 3.40-3.56, 5 Pm 3.52-3.78
Ho 0.7287 0.7158 0.4768  6 Ho 3.40-3.56, 5 Pm 3.52-3.78
Ho 0.8595 0.1651 0.4051  4 Pm 3.31-3.60, 5 Ho 3.33-3.56

Energy relative to the elements (meV/atom): 132
Crystal system: triclinic

## AlIr2Se (PBE)

Data for a geometry-optimized AlIr2Se structure.

Lattice parameters (Å, degrees): 2.9578 4.4269 4.7941 90.00 90.93 90.00
Last column: nearest neighbours and their distance in Å.
Atoms (fractional coordinates):
Al 0.0000 0.0000 0.0000  4 Ir 2.61, 4 Se 2.80-2.84
Ir 0.2585 0.5000 0.2413  2 Al 2.61, 2 Se 2.63, 3 Ir 2.74-2.84
Ir 0.7415 0.5000 0.7587  2 Al 2.61, 2 Se 2.63, 3 Ir 2.74-2.84
Se 0.5000 0.0000 0.5000  4 Ir 2.63, 4 Al 2.80-2.84

Crystal system: monoclinic
Energy relative to the lowest polymorph listed for this composition (meV per atom): 329

## Li4Dy3HoTe8 (PBE)

Data for a geometry-optimized Li4Dy3HoTe8 structure.

Lattice parameters (Å, degrees): 8.6538 8.6538 8.6538 60.19 60.19 60.19
Last column: nearest neighbours and their distance in Å.
Atoms (fractional coordinates):
Li 0.0000 0.0000 0.0000  6 Te 3.05
Li 0.0000 0.5000 0.5000  6 Te 3.04
Li 0.5000 0.0000 0.5000  6 Te 3.04
Li 0.5000 0.5000 0.0000  6 Te 3.04
Dy 0.0000 0.0000 0.5000  6 Te 3.09
Dy 0.0000 0.5000 0.0000  6 Te 3.09
Dy 0.5000 0.0000 0.0000  6 Te 3.09
Ho 0.5000 0.5000 0.5000  6 Te 3.08
Te 0.2488 0.2488 0.7475  3 Li 3.04-3.05, 1 Ho 3.08, 2 Dy 3.09
Te 0.2488 0.7475 0.2488  3 Li 3.04-3.05, 1 Ho 3.08, 2 Dy 3.09
Te 0.2518 0.2518 0.2518  3 Li 3.04, 3 Dy 3.09
Te 0.2525 0.7512 0.7512  3 Li 3.04-3.05, 1 Ho 3.08, 2 Dy 3.09
Te 0.7475 0.2488 0.2488  3 Li 3.04-3.05, 1 Ho 3.08, 2 Dy 3.09
Te 0.7482 0.7482 0.7482  3 Li 3.04, 3 Dy 3.09
Te 0.7512 0.2525 0.7512  3 Li 3.04-3.05, 1 Ho 3.08, 2 Dy 3.09
Te 0.7512 0.7512 0.2525  3 Li 3.04-3.05, 1 Ho 3.08, 2 Dy 3.09

Total DFT energy (no corrections) (Ry per atom): -0.32992
Crystal system: trigonal

## Zn3NiPt3 (PBE)

Data for a geometry-optimized Zn3NiPt3 structure.

Lattice parameters (Å, degrees): 5.6804 5.6804 6.6768 90.00 90.00 90.50
Last column: nearest neighbours and their distance in Å.
Atoms (fractional coordinates):
Zn 0.2113 0.2113 0.5000  2 Ni 2.53, 6 Pt 2.63-2.76
Zn 0.2479 0.2479 0.0000  6 Pt 2.62-2.72, 4 Zn 2.82-2.86
Zn 0.2486 0.7514 0.0000  6 Pt 2.61-2.73, 4 Zn 2.82-2.86
Zn 0.7514 0.2486 0.0000  6 Pt 2.61-2.73, 4 Zn 2.82-2.86
Zn 0.7521 0.7521 0.0000  6 Pt 2.62-2.72, 4 Zn 2.82-2.86
Zn 0.7887 0.7887 0.5000  2 Ni 2.53, 6 Pt 2.63-2.76
Ni 0.2330 0.7670 0.5000  2 Zn 2.53, 6 Pt 2.60-2.64
Ni 0.7670 0.2330 0.5000  2 Zn 2.53, 6 Pt 2.60-2.64
Pt 0.0000 0.5000 0.2509  2 Ni 2.60, 6 Zn 2.61-2.63, 2 Pt 2.84
Pt 0.0000 0.5000 0.7491  2 Ni 2.60, 6 Zn 2.61-2.63, 2 Pt 2.84
Pt 0.5000 0.0000 0.2509  2 Ni 2.60, 6 Zn 2.61-2.63, 2 Pt 2.84
Pt 0.5000 0.0000 0.7491  2 Ni 2.60, 6 Zn 2.61-2.63, 2 Pt 2.84
Pt 0.5000 0.5000 0.2728  2 Ni 2.64, 6 Zn 2.72-2.76, 4 Pt 2.84
Pt 0.5000 0.5000 0.7272  2 Ni 2.64, 6 Zn 2.72-2.76, 4 Pt 2.84

Energy relative to the elements (meV/atom): -317
Crystal system: orthorhombic

## Co2AuCl (PBE)

Data for a geometry-optimized Co2AuCl structure.

Lattice parameters (Å, degrees): 4.4221 4.4221 4.4221 60.00 60.00 60.00
Last column: nearest neighbours and their distance in Å.
Atoms (fractional coordinates):
Co 0.0000 0.0000 0.0000  4 Co 2.71, 4 Au 2.71
Co 0.2500 0.2500 0.2500  4 Cl 2.71, 4 Co 2.71
Au 0.7500 0.7500 0.7500  4 Cl 2.71, 4 Co 2.71
Cl 0.5000 0.5000 0.5000  4 Au 2.71, 4 Co 2.71

Crystal system: cubic
Energy relative to the lowest polymorph listed for this composition (meV per atom): 594